Density functional theory data (PBEsol) for an optimized crystal structure of SrTa2Cu.

a = 3.9589 Å, b = 3.9589 Å, c = 5.1555 Å
α = 90.00°, β = 90.00°, γ = 90.00°
Positions (direct):
Cu (0.5000, 0.5000, 0.5000)
Sr (0.0000, 0.0000, 0.5000)
Ta (0.0000, 0.5000, 0.0000)
Ta (0.5000, 0.0000, 0.0000)

E_form: 966 meV per atom
polymorph energy (0 for the lowest one): 496 meV/atom
DOS at the Fermi energy: 5.41 states/eV/cell

---

Density functional theory data (PBEsol) for an optimized crystal structure of Sr2TaCu.

a = 3.3692 Å, b = 3.3692 Å, c = 10.2931 Å
α = 80.58°, β = 80.58°, γ = 60.00°
Positions (direct):
Cu (0.0000, 0.0000, 0.0000)
Sr (0.2554, 0.2554, 0.2337)
Sr (0.7446, 0.7446, 0.7663)
Ta (0.5000, 0.5000, 0.5000)

E_form: 884 meV per atom
polymorph energy (0 for the lowest one): 369 meV/atom
DOS at the Fermi energy: 2.45 states/eV/cell

---

Density functional theory data (PBEsol) for an optimized crystal structure of SrTa3Cu.

a = 4.7509 Å, b = 4.7509 Å, c = 4.7509 Å
α = 90.00°, β = 90.00°, γ = 90.00°
Positions (direct):
Sr (0.0000, 0.0000, 0.0000)
Cu (0.5000, 0.5000, 0.5000)
Ta (0.0000, 0.5000, 0.0000)
Ta (0.0000, 0.0000, 0.5000)
Ta (0.5000, 0.0000, 0.0000)

E_form: 3120 meV per atom
DOS at the Fermi energy: 5.45 states/eV/cell

---

- Which value of E_form does entry 3 give?
  3120 meV per atom

---

- Among the records above, which one has the highest DOS at the Fermi energy?
  SrTa3Cu

---

- The lowest DOS at the Fermi energy belongs to which entry?
  Sr2TaCu

---

- Among the records above, which one has the lowest E_form?
  Sr2TaCu